This record from Alexandria describes a relaxed structure of NaCrO2. The functional is GGA+U.

Structure (CIF):
```
data_NaCrO2
_chemical_formula_sum 'Na1 Cr1 O2'
_space_group_name_H-M_alt 'P 6/m m m'
_space_group_IT_number 191
_space_group_name_Hall '-P 6 2'
_cell_length_a 4.8905
_cell_length_b 4.8905
_cell_length_c 7.7262
_cell_angle_alpha 90.00
_cell_angle_beta 90.00
_cell_angle_gamma 120.00
loop_
_atom_site_label
_atom_site_type_symbol
_atom_site_fract_x
_atom_site_fract_y
_atom_site_fract_z
_atom_site_occupancy
Na1 Na 0.0000 0.0000 0.0000 1
Cr1 Cr 0.0000 0.0000 0.5000 1
O1 O 0.0000 0.0000 0.2776 1
```

E_tot	-22.08	eV/cell
offset from the most stable computed form	1090	meV/atom
spin magnetization	0.7500	μB per atom